1.
First-principles (PBE-GGA) data for a relaxed structure of YOs2Pb, as listed in the Alexandria database.

Properties
DOS at the Fermi energy = 3.36 states/eV per cell
DFT formation energy = 0.281 eV/atom

a = 2.9895 Å, b = 3.7633 Å, c = 7.5305 Å
α = 90.00°, β = 90.08°, γ = 90.00°
Last column: nearest neighbours and their distance in Å.
Sites, in units of the cell vectors:
1 Y 0.0000 0.0000 0.0000  5 Os 2.91-3.05, 2 Y 2.99
2 Os 0.0001 0.0000 0.6135  4 Os 2.61-2.62, 1 Y 2.91
3 Os 0.5009 0.5000 0.7504  4 Os 2.61-2.62
4 Pb 0.5006 0.5000 0.3480  2 Pb 2.99, 5 Os 3.03-3.13

2.
First-principles (PBE-GGA) data for a relaxed structure of YOs2Pb, as listed in the Alexandria database.

Properties
DOS at the Fermi energy = 4.28 states/eV per cell
DFT formation energy = 0.793 eV/atom

a = 3.0633 Å, b = 3.0633 Å, c = 9.1450 Å
α = 90.00°, β = 90.00°, γ = 112.79°
Last column: nearest neighbours and their distance in Å.
Sites, in units of the cell vectors:
1 Y 0.0000 0.0000 0.0000  4 Os 2.82, 4 Y 3.06
2 Os 0.5000 0.5000 0.2466  2 Y 2.82, 2 Pb 2.87, 4 Os 3.06
3 Os 0.5000 0.5000 0.7534  2 Y 2.82, 2 Pb 2.87, 4 Os 3.06
4 Pb 0.0000 0.0000 0.5000  4 Os 2.87, 4 Pb 3.06

3.
First-principles (PBE-GGA) data for a relaxed structure of YOs2Pb, as listed in the Alexandria database.

Properties
DOS at the Fermi energy = 5.25 states/eV per cell
DFT formation energy = 0.521 eV/atom

a = 5.4220 Å, b = 5.4220 Å, c = 5.4220 Å
α = 135.71°, β = 135.71°, γ = 64.42°
Last column: nearest neighbours and their distance in Å.
Sites, in units of the cell vectors:
1 Y 0.0000 0.0000 0.0000  8 Os 2.89-3.07, 4 Pb 3.07
2 Os 0.2500 0.7500 0.5000  4 Pb 2.89, 4 Os 3.07, 4 Y 3.07
3 Os 0.5000 0.5000 0.0000  4 Y 2.89, 4 Pb 3.07, 4 Os 3.07
4 Pb 0.7500 0.2500 0.5000  8 Os 2.89-3.07, 4 Y 3.07

4.
First-principles (PBE-GGA) data for a relaxed structure of Y6Os2Pb, as listed in the Alexandria database.

Properties
DOS at the Fermi energy = 19.29 states/eV per cell
DFT formation energy = -0.320 eV/atom

a = 8.5740 Å, b = 8.5740 Å, c = 8.5740 Å
α = 112.37°, β = 110.93°, γ = 105.20°
Last column: nearest neighbours and their distance in Å.
Sites, in units of the cell vectors:
1 Y 0.0288 0.2413 0.7875  1 Os 2.79
2 Y 0.1848 0.2813 0.4662  3 Os 3.02-3.06, 1 Pb 3.23
3 Y 0.1848 0.7187 0.9035  3 Os 3.02-3.06, 1 Pb 3.23
4 Y 0.3304 0.0178 0.6874  3 Os 2.84-2.97
5 Y 0.3304 0.6431 0.3126  3 Os 2.84-2.97
6 Y 0.4538 0.2413 0.2125  1 Os 2.79
7 Y 0.5462 0.7587 0.7875  1 Os 2.79
8 Y 0.6696 0.3569 0.6874  3 Os 2.84-2.97
9 Y 0.6696 0.9822 0.3126  3 Os 2.84-2.97
10 Y 0.8152 0.2813 0.0965  3 Os 3.02-3.06, 1 Pb 3.23
11 Y 0.8152 0.7187 0.5338  3 Os 3.02-3.06, 1 Pb 3.23
12 Y 0.9712 0.7587 0.2125  1 Os 2.79
13 Os 0.1191 0.6191 0.5000  1 Os 2.48
14 Os 0.3365 0.0000 0.3365  8 Y 2.79-3.06
15 Os 0.6635 0.0000 0.6635  8 Y 2.79-3.06
16 Os 0.8809 0.3809 0.5000  1 Os 2.48
17 Pb 0.0000 0.0000 0.0000  8 Y 3.23-3.25, 2 Os 3.27
18 Pb 0.5000 0.5000 0.0000  12 Y 3.40-3.71

5.
First-principles (PBE-GGA) data for a relaxed structure of YOs2Pb, as listed in the Alexandria database.

Properties
DOS at the Fermi energy = 4.53 states/eV per cell
DFT formation energy = 0.423 eV/atom

a = 4.4546 Å, b = 4.4546 Å, c = 3.8289 Å
α = 90.00°, β = 90.00°, γ = 90.00°
Last column: nearest neighbours and their distance in Å.
Sites, in units of the cell vectors:
1 Y 0.0000 0.0000 0.0000  8 Os 2.94, 4 Pb 3.15
2 Os 0.0000 0.5000 0.5000  4 Pb 2.94, 4 Y 2.94, 4 Os 3.15
3 Os 0.5000 0.0000 0.5000  4 Pb 2.94, 4 Y 2.94, 4 Os 3.15
4 Pb 0.5000 0.5000 0.0000  8 Os 2.94, 4 Y 3.15

6.
First-principles (PBE-GGA) data for a relaxed structure of YOs2Pb, as listed in the Alexandria database.

Properties
DOS at the Fermi energy = 4.20 states/eV per cell
DFT formation energy = 0.492 eV/atom

a = 3.4265 Å, b = 3.4265 Å, c = 6.5948 Å
α = 90.00°, β = 90.00°, γ = 90.00°
Last column: nearest neighbours and their distance in Å.
Sites, in units of the cell vectors:
1 Y 0.0000 0.0000 0.0000  8 Os 2.99, 2 Pb 3.30
2 Os 0.5000 0.5000 0.2654  4 Pb 2.87, 4 Y 2.99, 1 Os 3.09
3 Os 0.5000 0.5000 0.7346  4 Pb 2.87, 4 Y 2.99, 1 Os 3.09
4 Pb 0.0000 0.0000 0.5000  8 Os 2.87

7.
First-principles (PBE-GGA) data for a relaxed structure of YOs2Pb, as listed in the Alexandria database.

Properties
DOS at the Fermi energy = 3.51 states/eV per cell
DFT formation energy = 0.381 eV/atom

a = 5.3674 Å, b = 5.3674 Å, c = 5.6093 Å
α = 115.89°, β = 115.89°, γ = 34.13°
Last column: nearest neighbours and their distance in Å.
Sites, in units of the cell vectors:
1 Y 0.0000 0.0000 0.0000  5 Os 2.81-3.06
2 Os 0.4327 0.4327 0.4890  2 Os 2.62, 3 Pb 2.89-2.90
3 Os 0.7564 0.7564 0.1020  2 Os 2.62, 3 Y 2.81-2.89, 2 Pb 2.89
4 Pb 0.1936 0.1936 0.6295  5 Os 2.89-2.90, 2 Pb 3.15, 1 Y 3.16

8.
First-principles (PBE-GGA) data for a relaxed structure of Y4OsPb, as listed in the Alexandria database.

Properties
DOS at the Fermi energy = 11.77 states/eV per cell
offset from the most stable computed form = 0 meV/atom
DFT formation energy = -0.382 eV/atom

a = 8.1420 Å, b = 8.1420 Å, c = 6.1724 Å
α = 102.84°, β = 102.84°, γ = 112.94°
Last column: nearest neighbours and their distance in Å.
Sites, in units of the cell vectors:
1 Y 0.0570 0.7225 0.9346  2 Os 2.89
2 Y 0.2076 0.3467 0.6577  2 Os 2.90-2.93
3 Y 0.2775 0.9430 0.5654  2 Os 2.89
4 Y 0.3467 0.2076 0.1577  2 Os 2.90-2.93
5 Y 0.6533 0.7924 0.8423  2 Os 2.90-2.93
6 Y 0.7225 0.0570 0.4346  2 Os 2.89
7 Y 0.7924 0.6533 0.3423  2 Os 2.90-2.93
8 Y 0.9430 0.2775 0.0654  2 Os 2.89
9 Os 0.0003 0.9997 0.2500  8 Y 2.89-2.93, 2 Os 3.09
10 Os 0.9997 0.0003 0.7500  8 Y 2.89-2.93, 2 Os 3.09
11 Pb 0.3698 0.6302 0.2500  8 Y 3.26-3.49
12 Pb 0.6302 0.3698 0.7500  8 Y 3.26-3.49

Question: Which of these has the highest DFT formation energy?
Answer: number 2

Copy entry 4 word for word.
First-principles (PBE-GGA) data for a relaxed structure of Y6Os2Pb, as listed in the Alexandria database.

Properties
DOS at the Fermi energy = 19.29 states/eV per cell
DFT formation energy = -0.320 eV/atom

a = 8.5740 Å, b = 8.5740 Å, c = 8.5740 Å
α = 112.37°, β = 110.93°, γ = 105.20°
Last column: nearest neighbours and their distance in Å.
Sites, in units of the cell vectors:
1 Y 0.0288 0.2413 0.7875  1 Os 2.79
2 Y 0.1848 0.2813 0.4662  3 Os 3.02-3.06, 1 Pb 3.23
3 Y 0.1848 0.7187 0.9035  3 Os 3.02-3.06, 1 Pb 3.23
4 Y 0.3304 0.0178 0.6874  3 Os 2.84-2.97
5 Y 0.3304 0.6431 0.3126  3 Os 2.84-2.97
6 Y 0.4538 0.2413 0.2125  1 Os 2.79
7 Y 0.5462 0.7587 0.7875  1 Os 2.79
8 Y 0.6696 0.3569 0.6874  3 Os 2.84-2.97
9 Y 0.6696 0.9822 0.3126  3 Os 2.84-2.97
10 Y 0.8152 0.2813 0.0965  3 Os 3.02-3.06, 1 Pb 3.23
11 Y 0.8152 0.7187 0.5338  3 Os 3.02-3.06, 1 Pb 3.23
12 Y 0.9712 0.7587 0.2125  1 Os 2.79
13 Os 0.1191 0.6191 0.5000  1 Os 2.48
14 Os 0.3365 0.0000 0.3365  8 Y 2.79-3.06
15 Os 0.6635 0.0000 0.6635  8 Y 2.79-3.06
16 Os 0.8809 0.3809 0.5000  1 Os 2.48
17 Pb 0.0000 0.0000 0.0000  8 Y 3.23-3.25, 2 Os 3.27
18 Pb 0.5000 0.5000 0.0000  12 Y 3.40-3.71

Question: Which value of DOS at the Fermi energy does entry 3 give?
Answer: 5.25 states/eV per cell